First-principles (PBE-GGA) data for an optimized crystal structure of NbP2RuS, as listed in Alexandria.

Results
- E above lowest polymorph: 0.0000 eV/atom
- SG: P4/mmm (123)
- N(E_F): 0.864 states/eV/atom
- Crystal system: tetragonal

Lattice parameters (Å, degrees): 4.417 4.417 4.965 90.00 90.00 90.00
Positions (direct):
Nb 0.000 0.000 0.000
P 0.000 0.500 0.500
P 0.500 0.000 0.500
Ru 0.500 0.500 0.500
S 0.500 0.500 0.000

---

First-principles (PBE-GGA) data for an optimized crystal structure of Sr6Hg5Rh, as listed in Alexandria.

Results
- SG: C2/m (12)
- Raw total energy: -2.024 eV/atom
- N(E_F): 0.716 states/eV/atom
- Crystal system: monoclinic

Lattice parameters (Å, degrees): 9.622 9.622 5.591 106.73 106.73 48.24
Positions (direct):
Sr 0.082 0.600 0.341
Sr 0.234 0.766 0.000
Sr 0.400 0.918 0.659
Sr 0.600 0.082 0.341
Sr 0.766 0.234 0.000
Sr 0.918 0.400 0.659
Hg 0.174 0.174 0.174
Hg 0.335 0.335 0.835
Hg 0.500 0.500 0.500
Hg 0.665 0.665 0.165
Hg 0.826 0.826 0.826
Rh 0.000 0.000 0.500